Ga2Sn2Pb (PBE-GGA, optimized geometry); formation enthalpy at 0 K = 46 meV per atom; relative energy among the computed polymorphs = 1.4 meV/atom; volume = 25.41 Å³ per atom; space group = P4/mbm (127)
1.0
-3.849 -5.748 5.287
7.762 -2.163 3.299
-0.333 2.376 2.341
Pb Sn Ga
2 4 4
Cartesian
0.000 0.000 0.000
1.956 -3.955 4.293
5.265 -3.881 4.688
1.728 -6.305 6.646
-1.353 -4.030 3.898
2.184 -1.605 1.940
4.300 -1.077 4.105
3.934 -4.385 7.411
-0.720 -4.458 6.823
-0.354 -1.149 3.517